No. 1
A geometry-optimized Ni3TeIr structure. Source: Alexandria, functional GGA-PBE.

The structure belongs to space group Pm-3m (No. 221); the cell edges are 4.5754, 4.5754 and 4.5754 Å and the angles 90.00°, 90.00° and 90.00°. The distinct sites, in fractional coordinates, are Ni at (0.0000, 0.0000, 0.5000), Te at (0.5000, 0.5000, 0.5000) and Ir at (0.0000, 0.0000, 0.0000).

The relative energy among the computed polymorphs is 0.0 meV/atom. For the total magnetization, the calculation gives 2.771 μB/f.u. The value obtained for the formation energy (no corrections) is 1021 meV/atom.

***

No. 2
A geometry-optimized Sc3Sn2 structure. Source: Alexandria, functional GGA-PBE.

The structure belongs to space group Pnma (No. 62); the cell edges are 11.2677, 4.2425 and 10.5386 Å and the angles 90.00°, 90.00° and 90.00°. The distinct sites, in fractional coordinates, are Sc at (0.0543, 0.2500, 0.1295), Sc at (0.1301, 0.7500, 0.5658), Sc at (0.2241, 0.2500, 0.7906), Sn at (0.0132, 0.7500, 0.3180) and Sn at (0.1911, 0.7500, 0.9941).

For the total magnetization, the calculation gives 0.663 μB/f.u. The value obtained for the formation energy is -0.5146 eV/atom.

***

Please write out number 1 again, unchanged.
A geometry-optimized Ni3TeIr structure. Source: Alexandria, functional GGA-PBE.

The structure belongs to space group Pm-3m (No. 221); the cell edges are 4.5754, 4.5754 and 4.5754 Å and the angles 90.00°, 90.00° and 90.00°. The distinct sites, in fractional coordinates, are Ni at (0.0000, 0.0000, 0.5000), Te at (0.5000, 0.5000, 0.5000) and Ir at (0.0000, 0.0000, 0.0000).

The relative energy among the computed polymorphs is 0.0 meV/atom. For the total magnetization, the calculation gives 2.771 μB/f.u. The value obtained for the formation energy (no corrections) is 1021 meV/atom.